Computed, not measured: a relaxed AcNdThSn crystal at the PBE level of DFT.

Summary:
Space group = F-43m
Energy of formation = -0.119 eV per atom

POSCAR file:
```
AcNdThSn
1.0
0.0000 4.0120 4.0120
4.0120 0.0000 4.0120
4.0120 4.0120 0.0000
Ac Nd Th Sn
1 1 1 1
Direct
0.0000 0.0000 0.0000
0.7500 0.7500 0.7500
0.2500 0.2500 0.2500
0.5000 0.5000 0.5000
```